1.
# ZrRu3C PBEsol optimized geometry
data_ZrRu3C
_cell_length_a 4.0487
_cell_length_b 4.0487
_cell_length_c 4.0487
_cell_angle_alpha 90.00
_cell_angle_beta 90.00
_cell_angle_gamma 90.00
_symmetry_space_group_name_H-M 'P m -3 m'
_symmetry_Int_Tables_number 221
_symmetry_space_group_name_Hall '-P 4 2 3'
loop_
_atom_site_label
_atom_site_type_symbol
_atom_site_fract_x
_atom_site_fract_y
_atom_site_fract_z
Zr1 Zr 0.0000 0.0000 0.0000
Ru1 Ru 0.0000 0.5000 0.5000
C1 C 0.5000 0.5000 0.5000
# - M_tot: 0.000 μB/atom
# - Volume: 66.4 Å³ per cell
# - E_form: -0.359 eV/atom
# - VASP energy: -51.05 eV/f.u.
# - Density: 10.170 g/cm3
# - Distance to the lowest polymorph of the same formula: 0 meV/atom

2.
# LiTi2Ni2 PBEsol optimized geometry
data_LiTi2Ni2
_cell_length_a 7.0269
_cell_length_b 7.0269
_cell_length_c 2.7805
_cell_angle_alpha 90.00
_cell_angle_beta 90.00
_cell_angle_gamma 90.00
_symmetry_space_group_name_H-M 'P 4/m b m'
_symmetry_Int_Tables_number 127
_symmetry_space_group_name_Hall '-P 4 2ab'
loop_
_atom_site_label
_atom_site_type_symbol
_atom_site_fract_x
_atom_site_fract_y
_atom_site_fract_z
Li1 Li 0.0000 0.0000 0.0000
Ti1 Ti 0.1629 0.3371 0.5000
Ni1 Ni 0.1312 0.6312 0.0000
# - M_tot: 0.000 μB/atom
# - Volume: 137.3 Å³ per cell
# - E_form: -0.221 eV/atom
# - VASP energy: -32.03 eV/f.u.
# - Density: 5.323 g/cm3

3.
# MoAsW PBEsol optimized geometry
data_MoAsW
_cell_length_a 3.2074
_cell_length_b 4.5095
_cell_length_c 6.6990
_cell_angle_alpha 90.00
_cell_angle_beta 90.00
_cell_angle_gamma 90.00
_symmetry_space_group_name_H-M 'C m m 2'
_symmetry_Int_Tables_number 35
loop_
_symmetry_equiv_pos_as_xyz
'x,y,z'
'-x,-y,z'
'-x,y,z'
'x,-y,z'
'x+1/2,y+1/2,z'
'-x+1/2,-y+1/2,z'
'-x+1/2,y+1/2,z'
'x+1/2,-y+1/2,z'
loop_
_atom_site_label
_atom_site_type_symbol
_atom_site_fract_x
_atom_site_fract_y
_atom_site_fract_z
Mo1 Mo 0.0000 0.0000 0.0000
As1 As 0.0000 0.5000 0.3015
W1 W 0.0000 0.5000 0.6802
# - M_tot: 0.000 μB/atom
# - Volume: 96.9 Å³ per cell
# - E_form: 0.253 eV/atom
# - VASP energy: -29.92 eV/f.u.
# - Density: 12.158 g/cm3
# - Distance to the lowest polymorph of the same formula: 0 meV/atom

4.
# Li2AgP2 PBEsol optimized geometry
data_Li2AgP2
_cell_length_a 6.3919
_cell_length_b 6.3919
_cell_length_c 3.7855
_cell_angle_alpha 90.00
_cell_angle_beta 90.00
_cell_angle_gamma 90.00
_symmetry_space_group_name_H-M 'P 4/m b m'
_symmetry_Int_Tables_number 127
_symmetry_space_group_name_Hall '-P 4 2ab'
loop_
_atom_site_label
_atom_site_type_symbol
_atom_site_fract_x
_atom_site_fract_y
_atom_site_fract_z
Li1 Li 0.1734 0.3266 0.0000
Ag1 Ag 0.0000 0.0000 0.5000
P1 P 0.1183 0.6183 0.5000
# - M_tot: 0.000 μB/atom
# - Volume: 154.7 Å³ per cell
# - E_form: -0.417 eV/atom
# - VASP energy: -20.91 eV/f.u.
# - Density: 3.945 g/cm3

5.
# DyGePd PBEsol optimized geometry
data_DyGePd
_cell_length_a 4.3573
_cell_length_b 13.7845
_cell_length_c 7.4878
_cell_angle_alpha 90.00
_cell_angle_beta 90.00
_cell_angle_gamma 90.00
_symmetry_space_group_name_H-M 'P m m n'
_symmetry_Int_Tables_number 59
loop_
_symmetry_equiv_pos_as_xyz
'x,y,z'
'-x,-y,-z'
'-x+1/2,-y+1/2,z'
'x+1/2,y+1/2,-z'
'x+1/2,-y,-z'
'-x+1/2,y,z'
'-x,y+1/2,-z'
'x,-y+1/2,z'
loop_
_atom_site_label
_atom_site_type_symbol
_atom_site_fract_x
_atom_site_fract_y
_atom_site_fract_z
Dy1 Dy 0.2500 0.0016 0.2121
Dy2 Dy 0.2500 0.2500 0.2964
Dy3 Dy 0.2500 0.7500 0.2902
Ge1 Ge 0.2500 0.1056 0.5914
Ge2 Ge 0.2500 0.6526 0.9090
Pd1 Pd 0.2500 0.1422 0.9234
Pd2 Pd 0.2500 0.5947 0.5817
# - M_tot: 0.000 μB/atom
# - Volume: 449.7 Å³ per cell
# - E_form: -1.039 eV/atom
# - VASP energy: -18.99 eV/f.u.
# - Density: 10.089 g/cm3

6.
# SrZnW PBEsol optimized geometry
data_SrZnW
_cell_length_a 2.8550
_cell_length_b 2.8550
_cell_length_c 14.2101
_cell_angle_alpha 90.00
_cell_angle_beta 90.00
_cell_angle_gamma 90.00
_symmetry_space_group_name_H-M 'I 4 m m'
_symmetry_Int_Tables_number 107
_symmetry_space_group_name_Hall 'I 4 -2'
loop_
_atom_site_label
_atom_site_type_symbol
_atom_site_fract_x
_atom_site_fract_y
_atom_site_fract_z
Sr1 Sr 0.0000 0.0000 0.0000
Zn1 Zn 0.0000 0.0000 0.3198
W1 W 0.0000 0.0000 0.6872
# - M_tot: 0.000 μB/atom
# - Volume: 115.8 Å³ per cell
# - E_form: 0.733 eV/atom
# - VASP energy: -15.03 eV/f.u.
# - Density: 9.659 g/cm3

7.
# ZrSi2Br PBEsol optimized geometry
data_ZrSi2Br
_cell_length_a 3.2291
_cell_length_b 3.2291
_cell_length_c 7.5972
_cell_angle_alpha 90.00
_cell_angle_beta 90.00
_cell_angle_gamma 90.00
_symmetry_space_group_name_H-M 'P 4 m m'
_symmetry_Int_Tables_number 99
loop_
_symmetry_equiv_pos_as_xyz
'x,y,z'
'-y,x,z'
'-x,-y,z'
'y,-x,z'
'-x,y,z'
'y,x,z'
'x,-y,z'
'-y,-x,z'
loop_
_atom_site_label
_atom_site_type_symbol
_atom_site_fract_x
_atom_site_fract_y
_atom_site_fract_z
Zr1 Zr 0.0000 0.0000 0.0000
Si1 Si 0.0000 0.0000 0.6244
Si2 Si 0.5000 0.5000 0.7686
Br1 Br 0.5000 0.5000 0.2274
# - M_tot: 0.000 μB/atom
# - E_form (uncorrected): -0.342 eV/atom
# - Volume: 79.2 Å³ per cell
# - VASP energy: -23.82 eV/f.u.
# - Density: 4.765 g/cm3
# - Distance to the lowest polymorph of the same formula: 0 meV/atom

8.
# CrI2 PBEsol optimized geometry
data_CrI2
_cell_length_a 4.0062
_cell_length_b 4.0062
_cell_length_c 19.8720
_cell_angle_alpha 90.00
_cell_angle_beta 90.00
_cell_angle_gamma 120.00
_symmetry_space_group_name_H-M 'R -3 m'
_symmetry_Int_Tables_number 166
_symmetry_space_group_name_Hall '-R 3 2"'
loop_
_atom_site_label
_atom_site_type_symbol
_atom_site_fract_x
_atom_site_fract_y
_atom_site_fract_z
Cr1 Cr 0.0000 0.0000 0.0000
I1 I 0.0000 0.0000 0.2530
# - M_tot: 1.333 μB/atom
# - E_form (uncorrected): -0.195 eV/atom
# - Volume: 276.2 Å³ per cell
# - VASP energy: -14.36 eV/f.u.
# - Density: 5.515 g/cm3

9.
# CsKTe2Ir PBEsol optimized geometry
data_CsKTe2Ir
_cell_length_a 5.3074
_cell_length_b 5.3074
_cell_length_c 5.8728
_cell_angle_alpha 90.00
_cell_angle_beta 90.00
_cell_angle_gamma 90.00
_symmetry_space_group_name_H-M 'P 4/m m m'
_symmetry_Int_Tables_number 123
_symmetry_space_group_name_Hall '-P 4 2'
loop_
_atom_site_label
_atom_site_type_symbol
_atom_site_fract_x
_atom_site_fract_y
_atom_site_fract_z
Cs1 Cs 0.0000 0.0000 0.0000
K1 K 0.5000 0.5000 0.0000
Te1 Te 0.0000 0.5000 0.5000
Ir1 Ir 0.5000 0.5000 0.5000
# - M_tot: 0.000 μB/atom
# - E_form (uncorrected): -0.134 eV/atom
# - Volume: 165.4 Å³ per cell
# - VASP energy: -19.62 eV/f.u.
# - Density: 6.218 g/cm3

10.
# CoP4H16N2O16 PBEsol optimized geometry
data_CoP4H16N2O16
_cell_length_a 7.0750
_cell_length_b 7.2678
_cell_length_c 7.6652
_cell_angle_alpha 99.47
_cell_angle_beta 108.90
_cell_angle_gamma 90.60
_symmetry_space_group_name_H-M 'P -1'
_symmetry_Int_Tables_number 2
loop_
_symmetry_equiv_pos_as_xyz
'x,y,z'
'-x,-y,-z'
loop_
_atom_site_label
_atom_site_type_symbol
_atom_site_fract_x
_atom_site_fract_y
_atom_site_fract_z
Co1 Co 0.0000 0.0000 0.0000
P1 P 0.1636 0.2496 0.7401
P2 P 0.2488 0.7235 0.2637
H1 H 0.1179 0.2010 0.3462
H2 H 0.1223 0.3375 0.1996
H3 H 0.2381 0.4876 0.9873
H4 H 0.3247 0.9050 0.8316
H5 H 0.3500 0.6704 0.8158
H6 H 0.4212 0.2245 0.5714
H7 H 0.4280 0.7891 0.6753
H8 H 0.4430 0.1763 0.0897
N1 N 0.4155 0.7970 0.8087
O1 O 0.0610 0.2176 0.2126
O2 O 0.0743 0.7423 0.3571
O3 O 0.2014 0.1157 0.8793
O4 O 0.2262 0.5225 0.1565
O5 O 0.2349 0.1928 0.5737
O6 O 0.2438 0.8715 0.1465
O7 O 0.2501 0.4504 0.8439
O8 O 0.4341 0.7512 0.4458
# - M_tot: 0.077 μB/atom
# - Volume: 366.9 Å³ per cell
# - VASP energy: -238.28 eV/f.u.
# - Density: 2.186 g/cm3

11.
# Zr2TcOs PBEsol optimized geometry
data_Zr2TcOs
_cell_length_a 2.8763
_cell_length_b 2.8763
_cell_length_c 8.6060
_cell_angle_alpha 90.00
_cell_angle_beta 90.00
_cell_angle_gamma 90.00
_symmetry_space_group_name_H-M 'P 4 m m'
_symmetry_Int_Tables_number 99
loop_
_symmetry_equiv_pos_as_xyz
'x,y,z'
'-y,x,z'
'-x,-y,z'
'y,-x,z'
'-x,y,z'
'y,x,z'
'x,-y,z'
'-y,-x,z'
loop_
_atom_site_label
_atom_site_type_symbol
_atom_site_fract_x
_atom_site_fract_y
_atom_site_fract_z
Zr1 Zr 0.0000 0.0000 0.0000
Zr2 Zr 0.5000 0.5000 0.3222
Tc1 Tc 0.5000 0.5000 0.7505
Os1 Os 0.0000 0.0000 0.5663
# - M_tot: 0.000 μB/atom
# - Volume: 71.2 Å³ per cell
# - E_form: -0.038 eV/atom
# - VASP energy: -41.81 eV/f.u.
# - Density: 10.977 g/cm3

12.
# HfAs2O PBEsol optimized geometry
data_HfAs2O
_cell_length_a 5.2924
_cell_length_b 5.2924
_cell_length_c 11.4601
_cell_angle_alpha 90.00
_cell_angle_beta 90.00
_cell_angle_gamma 90.00
_symmetry_space_group_name_H-M 'I -4 2 d'
_symmetry_Int_Tables_number 122
_symmetry_space_group_name_Hall 'I -4 2bw'
loop_
_atom_site_label
_atom_site_type_symbol
_atom_site_fract_x
_atom_site_fract_y
_atom_site_fract_z
Hf1 Hf 0.0000 0.0000 0.0000
As1 As 0.1651 0.2500 0.6250
O1 O 0.0000 0.0000 0.5000
# - M_tot: 0.000 μB/atom
# - E_form (uncorrected): 0.045 eV/atom
# - Volume: 321.0 Å³ per cell
# - VASP energy: -25.79 eV/f.u.
# - Density: 7.125 g/cm3